[1]
MnGeSb3 | PBE | relaxed

POSCAR file:
```
MnGeSb3
1.0
-0.552 3.885 3.496
-3.556 2.297 -3.114
-3.830 -2.693 2.388
Sb Ge Mn
3 1 1
direct
0.500 0.000 0.000
0.000 0.000 0.500
0.000 0.500 0.000
0.000 0.000 0.000
0.500 0.500 0.500
```

## Properties
Its formation energy (no corrections) is 137.19 kJ/mol of atoms. Its relative energy among the computed polymorphs is 902 meV per atom.

=====

[2]
Rb12Tl3I5 | PBE | relaxed

POSCAR file:
```
Rb12Tl3I5
1.0
-4.681 -18.319 -3.048
18.198 2.892 -5.221
-2.035 4.100 18.597
Rb I Tl
48 20 12
direct
0.830 0.914 0.279
0.135 0.414 0.084
0.830 0.916 0.051
0.670 0.221 0.586
0.865 0.279 0.449
0.170 0.084 0.949
0.551 0.330 0.916
0.584 0.949 0.670
0.365 0.416 0.086
0.330 0.551 0.416
0.330 0.779 0.414
0.051 0.416 0.830
0.721 0.135 0.051
0.670 0.449 0.584
0.086 0.170 0.221
0.449 0.670 0.084
0.586 0.865 0.416
0.051 0.635 0.721
0.584 0.635 0.414
0.221 0.670 0.086
0.865 0.586 0.916
0.779 0.330 0.914
0.949 0.584 0.170
0.551 0.221 0.135
0.416 0.365 0.586
0.416 0.051 0.330
0.914 0.084 0.635
0.721 0.586 0.170
0.635 0.584 0.914
0.779 0.449 0.365
0.086 0.916 0.365
0.135 0.721 0.551
0.586 0.721 0.670
0.414 0.135 0.584
0.084 0.914 0.135
0.914 0.830 0.779
0.365 0.949 0.779
0.916 0.086 0.865
0.949 0.365 0.279
0.221 0.551 0.635
0.084 0.170 0.449
0.279 0.865 0.949
0.414 0.279 0.330
0.279 0.414 0.830
0.170 0.086 0.721
0.449 0.779 0.865
0.635 0.051 0.221
0.916 0.830 0.551
0.500 0.000 0.000
0.000 0.500 0.500
0.875 0.625 0.750
0.625 0.750 0.875
0.125 0.750 0.375
0.500 0.500 0.000
0.000 0.500 0.000
0.375 0.250 0.125
0.000 0.000 0.000
0.125 0.375 0.250
0.500 0.000 0.500
0.000 0.000 0.500
0.250 0.875 0.125
0.375 0.125 0.750
0.875 0.250 0.625
0.750 0.125 0.875
0.750 0.625 0.375
0.625 0.875 0.250
0.500 0.500 0.500
0.250 0.375 0.625
0.875 0.750 0.125
0.875 0.125 0.250
0.250 0.125 0.375
0.750 0.375 0.125
0.375 0.625 0.250
0.125 0.875 0.750
0.125 0.250 0.875
0.750 0.875 0.625
0.250 0.625 0.875
0.375 0.750 0.625
0.625 0.250 0.375
0.625 0.375 0.750
```

## Properties
Its formation energy (no corrections) is -59.70 kJ/mol of atoms.

=====

[3]
Nd3AlAg2 | PBE | relaxed

POSCAR file:
```
Nd3AlAg2
1.0
-1.368 0.137 -3.464
2.423 -2.625 -1.061
-7.554 -8.047 2.665
Nd Ag Al
3 2 1
direct
0.000 0.000 0.000
0.000 0.000 0.337
0.000 0.000 0.663
0.500 0.500 0.170
0.500 0.500 0.830
0.500 0.500 0.500
```

## Properties
The formation energy is -0.2963 eV/atom.

=====

[4]
TiCrTePS | PBE | relaxed

POSCAR file:
```
TiCrTePS
1.0
-0.996 -1.573 -2.663
1.004 -2.754 3.233
-6.822 2.631 2.969
Te Ti P S Cr
1 1 1 1 1
direct
0.705 0.665 0.563
0.991 0.830 0.966
0.733 0.080 0.202
0.242 0.388 0.911
0.453 0.502 0.219
```

## Properties
Its formation energy (no corrections) is -52.59 kJ/mol of atoms. Its relative energy among the computed polymorphs is 188 meV per atom.

=====

[5]
Hf8Ni4N | PBE | relaxed

POSCAR file:
```
Hf8Ni4N
1.0
8.553 0.003 -0.002
-0.007 8.553 0.002
-4.259 -4.292 6.049
Hf Ni N
16 8 2
direct
0.000 0.000 0.000
0.939 0.562 0.754
0.692 0.815 0.254
0.500 0.000 0.500
0.312 0.562 0.750
0.939 0.185 0.377
0.061 0.438 0.246
0.500 0.000 0.000
0.061 0.815 0.623
0.941 0.191 0.750
0.308 0.185 0.746
0.688 0.438 0.250
0.692 0.438 0.877
0.308 0.562 0.123
0.059 0.809 0.250
0.500 0.500 0.500
0.719 0.776 0.558
0.653 0.219 0.434
0.714 0.781 0.934
0.286 0.219 0.066
0.281 0.224 0.442
0.347 0.781 0.566
0.719 0.161 0.942
0.281 0.839 0.058
0.000 0.500 0.000
0.000 0.000 0.500
```

## Properties
Its formation energy (no corrections) is -57.52 kJ/mol of atoms.

=====

[6]
HoZnGa3Cu | PBE | relaxed

POSCAR file:
```
HoZnGa3Cu
1.0
-1.491 3.647 -4.171
-4.870 0.831 2.467
5.190 4.886 2.418
Ga Ho Cu Zn
6 2 2 2
direct
0.500 0.269 0.000
0.000 0.269 0.000
0.500 0.731 0.000
0.000 0.731 0.000
0.250 0.138 0.276
0.750 0.862 0.724
0.250 0.689 0.378
0.750 0.311 0.622
0.250 0.890 0.779
0.750 0.110 0.221
0.750 0.656 0.312
0.250 0.344 0.688
```

## Properties
The formation energy is -0.1077 eV/atom.

=====

[7]
NaZnSn2 | PBE | relaxed

POSCAR file:
```
NaZnSn2
1.0
3.664 0.000 0.000
0.000 3.664 0.000
0.000 0.000 7.342
Sn Na Zn
2 1 1
direct
0.000 0.000 0.209
0.000 0.000 0.791
0.500 0.500 0.500
0.500 0.500 0.000
```

## Properties
The formation energy is -0.0408 eV/atom.

=====

[8]
YHo2Ni2 | PBE | relaxed

POSCAR file:
```
YHo2Ni2
1.0
-1.944 0.079 3.247
4.478 -1.571 2.720
1.258 5.640 -1.590
Y Ho Ni
1 2 2
direct
0.000 0.000 0.000
0.648 0.589 0.297
0.352 0.411 0.703
0.286 0.886 0.572
0.714 0.114 0.428
```

## Properties
The formation energy is -0.2477 eV/atom. Its relative energy among the computed polymorphs is 39 meV per atom.

=====

[9]
CsPa2Ni2S6 | PBE | relaxed

POSCAR file:
```
CsPa2Ni2S6
1.0
7.209 -0.045 -0.049
3.549 6.298 -0.509
-0.012 -3.989 6.588
Cs S Ni Pa
1 6 2 2
direct
0.500 0.000 0.500
0.589 0.239 0.996
0.164 0.814 0.570
0.836 0.186 0.430
0.003 0.596 0.846
0.997 0.404 0.154
0.411 0.761 0.004
0.166 0.779 0.834
0.834 0.221 0.166
0.835 0.331 0.830
0.165 0.669 0.170
```

## Properties
Its formation energy (no corrections) is -109.80 kJ/mol of atoms.

=====

[10]
LaAlAs2 | PBE | relaxed

POSCAR file:
```
LaAlAs2
1.0
-1.567 3.209 1.659
-3.666 -0.909 -1.705
-1.468 -3.236 4.873
As Al La
2 1 1
direct
0.000 0.750 0.021
0.000 0.750 0.479
0.500 0.750 0.750
0.500 0.250 0.250
```

## Properties
The formation energy is -0.6789 eV/atom.

=====

[11]
PuIn2Ag | PBE | relaxed

POSCAR file:
```
PuIn2Ag
1.0
5.132 0.000 0.000
2.566 4.444 0.000
2.566 1.481 4.190
In Ag Pu
2 1 1
direct
0.750 0.750 0.750
0.250 0.250 0.250
0.500 0.500 0.500
0.000 0.000 0.000
```

## Properties
The formation energy is -0.0585 eV/atom. Its relative energy among the computed polymorphs is 69 meV per atom.

=====

[12]
KMgNiMo2 | PBE | relaxed

POSCAR file:
```
KMgNiMo2
1.0
4.601 0.000 0.000
0.000 4.587 0.000
0.000 0.000 4.601
Mo Ni Mg K
2 1 1 1
direct
0.000 0.000 0.500
0.500 0.000 0.000
0.000 0.500 0.000
0.500 0.500 0.500
0.000 0.000 0.000
```

## Properties
The formation energy is 2.6139 eV/atom.

=====

Looking at Fermi-level density of states for the records above, in order, we have 7.1, 54.4, 4.7, 1.8, 21.6, 3.6, 2.1, 6.2, 8.3, 1.4, 11.8, 7.5 states/eV per cell.
Looking at calculated total energy for the records above, in order, we have -3.8089, -1.9417, -4.2544, -6.5845, -9.1406, -3.2791, -2.6905, -5.6841, -6.2446, -5.1711, -5.7235, -3.4132 eV per atom.